# GGA-PBE KTaRh2, relaxed
# - total moment (μB per atom) = 0.182
# - energy relative to the lowest polymorph listed for this composition (kJ/mol of formula units) = 160.0
# - uncorrected energy (eV/f.u.) = -25.6
# - ΔE_f (eV per atom) = 0.509
data_KTaRh2
_chemical_formula_sum 'K1 Ta1 Rh2'
_space_group_name_H-M_alt 'P 4 m m'
_space_group_IT_number 99
_cell_length_a 2.836
_cell_length_b 2.836
_cell_length_c 9.838
_cell_angle_alpha 90.00
_cell_angle_beta 90.00
_cell_angle_gamma 90.00
loop_
_space_group_symop_operation_xyz
'x,y,z'
'-y,x,z'
'-x,-y,z'
'y,-x,z'
'-x,y,z'
'y,x,z'
'x,-y,z'
'-y,-x,z'
loop_
_atom_site_label
_atom_site_type_symbol
_atom_site_fract_x
_atom_site_fract_y
_atom_site_fract_z
K1 K 0.000 0.000 0.000
Ta1 Ta 0.500 0.500 0.651
Rh1 Rh 0.000 0.000 0.462
Rh2 Rh 0.500 0.500 0.268